A plane-wave DFT calculation with PBE with a Hubbard U was carried out for crystalline NaAcCr2O6 at its relaxed geometry.

Cell: 10.6309 10.5777 6.2609 Å, 90.00 110.75 90.00°
Space group C2/c (No. 15)
Unique sites:
Na 0.0000 0.2263 0.2500
Ac 0.0000 0.3884 0.7500
Cr 0.1941 0.0766 0.7174
O 0.1226 0.4216 0.1658
O 0.1303 0.2272 0.6368
O 0.1476 0.0239 0.9625

Summary:
Size of the total moment ... 4.00 μB/f.u.
Total energy ... -7.0383 eV/atom
Volume ... 658.4 Å³/cell
Crystal system ... monoclinic